Entry 1:
Material: VBi2HO6
Method: DFT, PBE+U
State: optimized geometry

The value obtained for the total energy is -6.18 eV per atom.

The space group is P2_1/c (No. 14) and the conventional cell measures 5.199, 8.280 and 7.165 Å, with angles of 90.00, 121.51 and 90.00 degrees. Symmetry generates all atoms from V at (0.000, 0.000, 0.000), Bi at (0.363, 0.178, 0.635), H at (0.500, 0.000, 0.000), O at (0.171, 0.706, 0.567), O at (0.269, 0.076, 0.894) and O at (0.311, 0.076, 0.273).

Entry 2:
Material: V2BiHO6
Method: DFT, PBE+U
State: optimized geometry

The value obtained for the total energy is -6.64 eV per atom.

The space group is C2/c (No. 15) and the conventional cell measures 8.235, 11.570 and 6.195 Å, with angles of 90.00, 113.40 and 90.00 degrees. Symmetry generates all atoms from V at (0.126, 0.088, 0.182), Bi at (0.000, 0.396, 0.250), H at (0.000, 0.400, 0.750), O at (0.113, 0.428, 0.674), O at (0.125, 0.230, 0.126) and O at (0.130, 0.048, 0.483).